Entry 1:
! Pm3Dy3ScS8, optimized geometry, DFT PBE; values from VASP
! - E_form (uncorrected): -2040 meV/atom
! - Total energy: -6.534 eV per atom
! - Fermi-level density of states: 0.475 states/eV/atom
&SYSTEM
  ibrav = 0, nat = 15, ntyp = 4
/
ATOMIC_SPECIES
Pm 145.00 Pm.upf
Dy 162.50 Dy.upf
Sc 44.96 Sc.upf
S 32.06 S.upf
CELL_PARAMETERS angstrom
3.926 2.267 6.490
-3.926 2.267 6.490
0.000 -4.533 6.490
ATOMIC_POSITIONS crystal
Pm 0.000 0.500 0.500
Pm 0.500 0.000 0.500
Pm 0.500 0.500 0.000
Dy 0.000 0.000 0.500
Dy 0.000 0.500 0.000
Dy 0.500 0.000 0.000
Sc 0.500 0.500 0.500
S 0.246 0.246 0.246
S 0.253 0.740 0.740
S 0.260 0.260 0.747
S 0.260 0.747 0.260
S 0.740 0.253 0.740
S 0.740 0.740 0.253
S 0.747 0.260 0.260
S 0.754 0.754 0.754

Entry 2:
! PmDy2ScS6, optimized geometry, DFT PBE; values from VASP
! - E_form (uncorrected): -1992 meV/atom
! - Total energy: -6.497 eV per atom
! - Fermi-level density of states: 0.000 states/eV/atom
&SYSTEM
  ibrav = 0, nat = 10, ntyp = 4
/
ATOMIC_SPECIES
Pm 145.00 Pm.upf
Dy 162.50 Dy.upf
Sc 44.96 Sc.upf
S 32.06 S.upf
CELL_PARAMETERS angstrom
3.432 1.981 6.120
-3.432 1.981 6.120
0.000 -3.963 6.120
ATOMIC_POSITIONS crystal
Pm 0.000 0.000 0.000
Dy 0.292 0.292 0.292
Dy 0.798 0.798 0.798
Sc 0.492 0.492 0.492
S 0.103 0.684 0.406
S 0.216 0.593 0.876
S 0.406 0.103 0.684
S 0.593 0.876 0.216
S 0.684 0.406 0.103
S 0.876 0.216 0.593

Entry 3:
! Pm2Dy3ScS6, optimized geometry, DFT PBE; values from VASP
! - E_form (uncorrected): -1968 meV/atom
! - Total energy: -6.502 eV per atom
! - Fermi-level density of states: 0.457 states/eV/atom
&SYSTEM
  ibrav = 0, nat = 12, ntyp = 4
/
ATOMIC_SPECIES
Pm 145.00 Pm.upf
Dy 162.50 Dy.upf
Sc 44.96 Sc.upf
S 32.06 S.upf
CELL_PARAMETERS angstrom
8.521 -1.954 0.000
8.521 1.954 0.000
-1.807 0.000 7.668
ATOMIC_POSITIONS crystal
Pm 0.167 0.167 0.334
Pm 0.833 0.833 0.666
Dy 0.170 0.170 0.834
Dy 0.500 0.500 0.500
Dy 0.830 0.830 0.166
Sc 0.500 0.500 0.000
S 0.004 0.004 0.762
S 0.336 0.336 0.410
S 0.339 0.339 0.927
S 0.661 0.661 0.073
S 0.664 0.664 0.590
S 0.996 0.996 0.238

> What is the E_form (uncorrected) in the first record?

-2040 meV/atom